No. 1
## BaNbB2 (PBE)

Data for BaNbB2 after structural relaxation.

Results
- Calculated volume: 181.8 Å³/cell
- Calculated density: 4.60 Mg/m³
- Magnetic moment: 0.00 μB/atom
- Total energy: -45.1 eV/cell
- Formation energy: 0.703 eV per atom
- D(E_F): 2.52 states/eV/f.u.
- Space group: I-42d (122)
- Distance to the lowest polymorph of the same formula: 0 meV/atom

Lattice parameters (Å, degrees): 6.2259 6.2259 6.2259 114.59 114.59 99.65
Last column: nearest neighbours and their distance in Å.
Fractional positions:
Ba 0.0000 0.0000 0.0000  4 B 3.15
Ba 0.7500 0.2500 0.5000  4 B 3.15
Nb 0.2500 0.7500 0.5000  4 B 2.15
Nb 0.5000 0.5000 0.0000  4 B 2.15
B 0.2424 0.6250 0.1174  2 Nb 2.15
B 0.3750 0.4924 0.6174  2 Nb 2.15
B 0.5076 0.1250 0.8826  2 Nb 2.15
B 0.8750 0.7576 0.3826  2 Nb 2.15

No. 2
## Ni2SbW (PBE)

Data for Ni2SbW after structural relaxation.

Results
- Calculated volume: 61.2 Å³/cell
- Calculated density: 11.47 Mg/m³
- Magnetic moment: 0.00 μB/atom
- Total energy: -27.7 eV/cell
- D(E_F): 3.16 states/eV/f.u.
- Raw formation energy: 238 meV/atom
- Space group: P4/mmm (123)

Lattice parameters (Å, degrees): 2.9096 2.9096 7.2325 90.00 90.00 90.00
Last column: nearest neighbours and their distance in Å.
Fractional positions:
Ni 0.0000 0.0000 0.2285  4 W 2.64, 4 Sb 2.84, 4 Ni 2.91
Ni 0.0000 0.0000 0.7715  4 W 2.64, 4 Sb 2.84, 4 Ni 2.91
Sb 0.5000 0.5000 0.5000  8 Ni 2.84, 4 Sb 2.91
W 0.5000 0.5000 0.0000  8 Ni 2.64, 4 W 2.91

Copy entry 2 word for word.
## Ni2SbW (PBE)

Data for Ni2SbW after structural relaxation.

Results
- Calculated volume: 61.2 Å³/cell
- Calculated density: 11.47 Mg/m³
- Magnetic moment: 0.00 μB/atom
- Total energy: -27.7 eV/cell
- D(E_F): 3.16 states/eV/f.u.
- Raw formation energy: 238 meV/atom
- Space group: P4/mmm (123)

Lattice parameters (Å, degrees): 2.9096 2.9096 7.2325 90.00 90.00 90.00
Last column: nearest neighbours and their distance in Å.
Fractional positions:
Ni 0.0000 0.0000 0.2285  4 W 2.64, 4 Sb 2.84, 4 Ni 2.91
Ni 0.0000 0.0000 0.7715  4 W 2.64, 4 Sb 2.84, 4 Ni 2.91
Sb 0.5000 0.5000 0.5000  8 Ni 2.84, 4 Sb 2.91
W 0.5000 0.5000 0.0000  8 Ni 2.64, 4 W 2.91